# 1
Sc2Be4Si3Ru after structural relaxation, computed with PBE.

abc: 3.650 3.650 9.910
angles: 90.00 90.00 90.00
Fractional coordinates of all 10 atoms:
1 Sc 0.000 0.500 0.246
2 Sc 0.500 0.000 0.754
3 Be 0.000 0.000 0.000
4 Be 0.000 0.500 0.642
5 Be 0.500 0.000 0.358
6 Be 0.500 0.500 0.000
7 Si 0.000 0.500 0.862
8 Si 0.500 0.000 0.138
9 Si 0.500 0.500 0.500
10 Ru 0.000 0.000 0.500

Results
Total magnetic moment in μB/f.u.: 0.00
Calculated volume in Å³/cell: 132.1
Space-group type: P-4m2, No. 115
Formation energy from raw total energies in eV/atom: -0.433
Mass density in Mg/m³: 3.914

# 2
PmCd5Pd after structural relaxation, computed with PBE.

abc: 4.768 4.768 7.352
angles: 90.00 90.00 90.00
Fractional coordinates of all 7 atoms:
1 Pm 0.000 0.000 0.000
2 Cd 0.000 0.500 0.297
3 Cd 0.000 0.500 0.703
4 Cd 0.500 0.000 0.297
5 Cd 0.500 0.000 0.703
6 Cd 0.500 0.500 0.000
7 Pd 0.000 0.000 0.500

Results
Total magnetic moment in μB/f.u.: 0.00
Formation energy in eV/atom: -0.297
Calculated volume in Å³/cell: 167.1
Space-group type: P4/mmm, No. 123
Mass density in Mg/m³: 8.082

# 3
Mg2FeP after structural relaxation, computed with PBE.

abc: 6.118 6.118 6.118
angles: 90.00 90.00 90.00
Fractional coordinates of all 16 atoms:
1 Mg 0.000 0.000 0.000
2 Mg 0.000 0.500 0.500
3 Mg 0.250 0.250 0.250
4 Mg 0.250 0.750 0.750
5 Mg 0.500 0.000 0.500
6 Mg 0.500 0.500 0.000
7 Mg 0.750 0.250 0.750
8 Mg 0.750 0.750 0.250
9 Fe 0.250 0.250 0.750
10 Fe 0.250 0.750 0.250
11 Fe 0.750 0.250 0.250
12 Fe 0.750 0.750 0.750
13 P 0.000 0.000 0.500
14 P 0.000 0.500 0.000
15 P 0.500 0.000 0.000
16 P 0.500 0.500 0.500

Results
Total magnetic moment in μB/f.u.: 0.92
Formation energy in eV/atom: 0.214
Calculated volume in Å³/cell: 229.0
Space-group type: F-43m, No. 216
Mass density in Mg/m³: 3.929

# 4
LaPrSm2N4 after structural relaxation, computed with PBE.

abc: 6.328 3.654 6.335
angles: 90.00 109.41 90.00
Fractional coordinates of all 8 atoms:
1 La 0.000 0.000 0.000
2 Pr 0.500 0.500 0.000
3 Sm 0.000 0.500 0.500
4 Sm 0.500 0.000 0.500
5 N 0.248 0.000 0.743
6 N 0.253 0.500 0.258
7 N 0.747 0.500 0.742
8 N 0.752 0.000 0.257

Results
Total magnetic moment in μB/f.u.: 0.00
Calculated volume in Å³/cell: 138.1
Space-group type: P2/m, No. 10
Formation energy from raw total energies in eV/atom: -1.383
Mass density in Mg/m³: 7.652

# 5
Pm6CuAu5 after structural relaxation, computed with PBE.

abc: 9.023 9.023 5.223
angles: 106.68 106.68 47.78
Fractional coordinates of all 12 atoms:
1 Pm 0.083 0.586 0.335
2 Pm 0.247 0.753 0.000
3 Pm 0.414 0.917 0.665
4 Pm 0.586 0.083 0.335
5 Pm 0.753 0.247 0.000
6 Pm 0.917 0.414 0.665
7 Cu 0.000 0.000 0.500
8 Au 0.162 0.162 0.163
9 Au 0.332 0.332 0.833
10 Au 0.500 0.500 0.500
11 Au 0.668 0.668 0.167
12 Au 0.838 0.838 0.837

Results
Total magnetic moment in μB/f.u.: 0.00
Formation energy in eV/atom: -0.679
Calculated volume in Å³/cell: 299.0
Space-group type: C2/m, No. 12
Mass density in Mg/m³: 10.654

# 6
Ag2TeRu after structural relaxation, computed with PBE.

abc: 9.280 3.460 5.016
angles: 90.00 109.53 90.00
Fractional coordinates of all 8 atoms:
1 Ag 0.000 0.000 0.000
2 Ag 0.248 0.000 0.830
3 Ag 0.500 0.500 0.000
4 Ag 0.748 0.500 0.830
5 Te 0.472 0.000 0.455
6 Te 0.972 0.500 0.455
7 Ru 0.251 0.500 0.356
8 Ru 0.751 0.000 0.356

Results
Total magnetic moment in μB/f.u.: 0.00
Calculated volume in Å³/cell: 151.8
Space-group type: Cm, No. 8
Formation energy from raw total energies in eV/atom: 0.322
Mass density in Mg/m³: 9.723

# 7
Ta2ReIrC after structural relaxation, computed with PBE.

abc: 4.261 4.261 4.023
angles: 90.00 90.00 90.00
Fractional coordinates of all 5 atoms:
1 Ta 0.000 0.500 0.000
2 Ta 0.500 0.000 0.000
3 Re 0.000 0.000 0.500
4 Ir 0.500 0.500 0.500
5 C 0.000 0.000 0.000

Results
Total magnetic moment in μB/f.u.: 0.00
Formation energy in eV/atom: -0.262
Calculated volume in Å³/cell: 73.1
Space-group type: P4/mmm, No. 123
Mass density in Mg/m³: 17.101

# 8
LaAl3 after structural relaxation, computed with PBE.

abc: 7.033 7.033 7.033
angles: 90.00 90.00 90.00
Fractional coordinates of all 16 atoms:
1 La 0.000 0.000 0.000
2 La 0.000 0.500 0.500
3 La 0.500 0.000 0.500
4 La 0.500 0.500 0.000
5 Al 0.000 0.000 0.500
6 Al 0.000 0.500 0.000
7 Al 0.250 0.250 0.250
8 Al 0.250 0.250 0.750
9 Al 0.250 0.750 0.250
10 Al 0.250 0.750 0.750
11 Al 0.500 0.000 0.000
12 Al 0.500 0.500 0.500
13 Al 0.750 0.250 0.250
14 Al 0.750 0.250 0.750
15 Al 0.750 0.750 0.250
16 Al 0.750 0.750 0.750

Results
Total magnetic moment in μB/f.u.: 0.00
Formation energy in eV/atom: -0.133
Calculated volume in Å³/cell: 347.8
Space-group type: Fm-3m, No. 225
Mass density in Mg/m³: 4.198

# 9
Ac2PaNi after structural relaxation, computed with PBE.

abc: 3.664 3.664 32.221
angles: 90.00 90.00 120.00
Fractional coordinates of all 12 atoms:
1 Ac 0.000 0.000 0.106
2 Ac 0.000 0.000 0.894
3 Ac 0.333 0.667 0.561
4 Ac 0.333 0.667 0.772
5 Ac 0.667 0.333 0.228
6 Ac 0.667 0.333 0.439
7 Pa 0.000 0.000 0.000
8 Pa 0.333 0.667 0.667
9 Pa 0.667 0.333 0.333
10 Ni 0.000 0.000 0.500
11 Ni 0.333 0.667 0.167
12 Ni 0.667 0.333 0.833

Results
Total magnetic moment in μB/f.u.: 0.86
Formation energy in eV/atom: 0.512
Calculated volume in Å³/cell: 374.7
Space-group type: R-3m, No. 166
Mass density in Mg/m³: 9.888

# 10
Ni2Hg2Cl after structural relaxation, computed with PBE.

abc: 4.295 4.295 10.877
angles: 90.00 90.00 90.00
Fractional coordinates of all 10 atoms:
1 Ni 0.000 0.000 0.108
2 Ni 0.000 0.000 0.892
3 Ni 0.500 0.500 0.392
4 Ni 0.500 0.500 0.608
5 Hg 0.000 0.500 0.250
6 Hg 0.000 0.500 0.750
7 Hg 0.500 0.000 0.250
8 Hg 0.500 0.000 0.750
9 Cl 0.000 0.000 0.500
10 Cl 0.500 0.500 0.000

Results
Total magnetic moment in μB/f.u.: 0.00
Calculated volume in Å³/cell: 200.6
Space-group type: I4/mmm, No. 139
Formation energy from raw total energies in eV/atom: 0.479
Mass density in Mg/m³: 9.171

# 11
Li2InBO4 after structural relaxation, computed with PBE.

abc: 6.188 6.188 6.197
angles: 113.40 113.40 101.76
Fractional coordinates of all 16 atoms:
1 Li 0.000 0.000 0.000
2 Li 0.000 0.000 0.500
3 Li 0.000 0.500 0.000
4 Li 0.500 0.000 0.500
5 In 0.000 0.500 0.500
6 In 0.500 0.000 0.000
7 B 0.500 0.500 0.000
8 B 0.500 0.500 0.500
9 O 0.178 0.759 0.956
10 O 0.241 0.822 0.544
11 O 0.314 0.316 0.451
12 O 0.316 0.314 0.951
13 O 0.684 0.686 0.049
14 O 0.686 0.684 0.549
15 O 0.759 0.178 0.456
16 O 0.822 0.241 0.044

Results
Total magnetic moment in μB/f.u.: 0.00
Calculated volume in Å³/cell: 180.5
Space-group type: C2/c, No. 15
Formation energy from raw total energies in eV/atom: -1.797
Mass density in Mg/m³: 3.744

# 12
KCuHg2F8 after structural relaxation, computed with PBE.

abc: 4.968 5.257 7.372
angles: 85.62 88.21 89.18
Fractional coordinates of all 12 atoms:
1 K 0.000 0.000 0.000
2 Cu 0.000 0.000 0.500
3 Hg 0.472 0.475 0.258
4 Hg 0.528 0.525 0.742
5 F 0.140 0.776 0.697
6 F 0.166 0.802 0.317
7 F 0.309 0.237 0.499
8 F 0.423 0.265 0.979
9 F 0.577 0.735 0.021
10 F 0.691 0.763 0.501
11 F 0.834 0.198 0.683
12 F 0.860 0.224 0.303

Results
Total magnetic moment in μB/f.u.: 1.97
Calculated volume in Å³/cell: 191.9
Space-group type: P-1, No. 2
Formation energy from raw total energies in eV/atom: -1.637
Mass density in Mg/m³: 5.675